Sr2Ga3Ge4Au: relaxed, PBE-GGA.

Cell: 4.662 4.662 10.283 Å, 90.00 90.00 90.00°
Element x y z (fractional)
Sr: 0.500 0.000 0.254
Sr: 0.000 0.500 0.746
Ga: 0.000 0.000 0.500
Ga: 0.500 0.000 0.875
Ga: 0.000 0.500 0.125
Ge: 0.500 0.500 0.000
Ge: 0.000 0.000 0.000
Ge: 0.500 0.000 0.629
Ge: 0.000 0.500 0.371
Au: 0.500 0.500 0.500

Values from the calculation:
Its calculated formation energy is -0.37 eV/atom. The symmetry is P-4m2 (115).



CaLa2Br: relaxed, PBE-GGA.

Cell: 6.725 6.725 6.725 Å, 137.79 137.79 61.22°
Element x y z (fractional)
Ca: 0.750 0.250 0.500
Br: 0.500 0.500 0.000
La: 0.000 0.000 0.000
La: 0.250 0.750 0.500

Values from the calculation:
The symmetry is I-4m2 (119). The value obtained for the formation energy from raw total energies is -0.16 eV per atom.



Nb5Re4Mo: relaxed, PBE-GGA.

Cell: 3.209 3.209 16.088 Å, 90.00 90.00 90.00°
Element x y z (fractional)
Nb: 0.500 0.500 0.101
Nb: 0.500 0.500 0.300
Nb: 0.500 0.500 0.500
Nb: 0.500 0.500 0.700
Nb: 0.500 0.500 0.899
Re: 0.000 0.000 0.201
Re: 0.000 0.000 0.400
Re: 0.000 0.000 0.600
Re: 0.000 0.000 0.799
Mo: 0.000 0.000 0.000

Values from the calculation:
Its calculated formation energy is -0.25 eV/atom. The symmetry is P4/mmm (123).



Mg2TcBr: relaxed, PBE-GGA.

Cell: 4.892 4.892 4.892 Å, 60.00 60.00 60.00°
Last column: magnetic moment on the atom in μB.
Element x y z (fractional)
Mg: 0.250 0.250 0.250  -0.02
Mg: 0.750 0.750 0.750  -0.02
Tc: 0.500 0.500 0.500  1.74
Br: 0.000 0.000 0.000  0.04

Values from the calculation:
The symmetry is Fm-3m (225). The value obtained for the formation energy from raw total energies is 0.61 eV per atom. The energy above the most stable polymorph in this dataset comes out at 642 meV per atom.



Tl3Cd4In4: relaxed, PBE-GGA.

Cell: 4.756 8.236 9.292 Å, 116.31 104.83 90.00°
Element x y z (fractional)
Tl: 0.116 0.116 0.232
Tl: 0.884 0.884 0.768
Tl: 0.000 0.500 0.000
Cd: 0.216 0.716 0.432
Cd: 0.784 0.284 0.568
Cd: 0.500 0.807 0.000
Cd: 0.500 0.193 0.000
In: 0.326 0.125 0.651
In: 0.674 0.474 0.349
In: 0.674 0.875 0.349
In: 0.326 0.526 0.651

Values from the calculation:
Its calculated formation energy is 0.05 eV/atom. The symmetry is Immm (71). The energy above the most stable polymorph in this dataset comes out at 5 meV per atom.



PrYInRu: relaxed, PBE-GGA.

Cell: 5.174 5.174 5.174 Å, 60.00 60.00 60.00°
Element x y z (fractional)
Pr: 0.000 0.000 0.000
Ru: 0.250 0.250 0.250
Y: 0.500 0.500 0.500
In: 0.750 0.750 0.750

Values from the calculation:
Its calculated formation energy is -0.25 eV/atom. The symmetry is F-43m (216).